Entry from OQMD via LeMat-Bulk: a relaxed CuSb2 crystal (PBE).

Calculated values
electronic total energy = -3.215 eV/atom

Unit cell a=6.088 b=6.088 c=6.088 alpha=60.00 beta=60.00 gamma=60.00
Fractional coordinates of all 6 atoms:
Cu 0.000 0.000 0.000
Cu 0.250 0.250 0.250
Sb 0.625 0.625 0.125
Sb 0.625 0.125 0.625
Sb 0.125 0.625 0.625
Sb 0.625 0.625 0.625